Material: Ac4Co3
Method: DFT, PBE
State: relaxed

The total energy comes out at -5.37 eV/atom.

It has space group C2/m (No. 12), with a = 15.2979 Å, b = 4.1400 Å, c = 6.7951 Å, α = 90.00°, β = 99.53° and γ = 90.00°. The asymmetric unit holds Ac at (0.0853, 0.0000, 0.2686), Ac at (0.1531, 0.5000, 0.7965), Co at (0.0000, 0.5000, 0.0000) and Co at (0.2422, 0.5000, 0.4336).

=====

Material: Ac2Co17
Method: DFT, PBE
State: relaxed

The total energy comes out at -6.77 eV/atom.

It has space group R-3m (No. 166, hexagonal axes), with a = 8.5039 Å, b = 8.5039 Å, c = 12.3560 Å, α = 90.00°, β = 90.00° and γ = 120.00°. The asymmetric unit holds Ac at (0.0000, 0.0000, 0.1549), Co at (0.0000, 0.0000, 0.4052), Co at (0.0000, 0.2782, 0.5000), Co at (0.0000, 0.5000, 0.0000) and Co at (0.0101, 0.5050, 0.3435).

=====

Material: AcCo
Method: DFT, PBE
State: relaxed

The total energy comes out at -5.67 eV/atom.

It has space group C2/m (No. 12), with a = 7.0897 Å, b = 4.0982 Å, c = 8.0518 Å, α = 90.00°, β = 107.44° and γ = 90.00°. The asymmetric unit holds Ac at (0.0876, 0.0000, 0.2567) and Co at (0.1670, 0.5000, 0.0007).